1.
Density functional theory data (PBE) for an optimized crystal structure of Ac2PbI.

abc: 5.873 5.873 5.873
angles: 60.00 60.00 60.00
Sites, in units of the cell vectors:
1 I 0.500 0.500 0.500
2 Ac 0.250 0.250 0.250
3 Ac 0.750 0.750 0.750
4 Pb 0.000 0.000 0.000

## Properties
* magnetization: 0.0 μB per cell
* space-group type: Fm-3m (225)
* energy relative to the lowest polymorph listed for this composition: 62 meV/atom
* total energy: -16.48 eV for the cell shown
* mass density: 9.134 g/cm3
* raw formation energy: -17.3 kcal/mol of atoms

2.
Density functional theory data (PBE) for an optimized crystal structure of K2ZrAl.

abc: 3.120 3.120 12.826
angles: 90.00 90.00 90.00
Sites, in units of the cell vectors:
1 Zr 0.500 0.500 0.250
2 K 0.000 0.000 0.519
3 Al 0.500 0.500 0.750
4 K 0.000 0.000 0.981

## Properties
* magnetization: 0.0 μB per cell
* space-group type: P4/mmm (123)
* total energy: -11.45 eV for the cell shown
* energy of formation from the pure elements: 758 meV/atom
* mass density: 2.613 g/cm3